{"formula": "Ca2Se", "functional": "PBE", "state": "optimized geometry", "mass_density_g_cm3": 2.89, "e_form_raw_ev_per_atom": -1.20, "sg": "Pnma, No. 62", "lattice": [[7.043, 0.000, 0.000], [0.000, 3.911, 0.000], [0.000, 0.000, 13.293]], "species": ["Ca", "Ca", "Ca", "Ca", "Ca", "Ca", "Ca", "Ca", "Se", "Se", "Se", "Se"], "fractional_positions": [[0.092, 0.250, 0.237], [0.240, 0.250, 0.975], [0.260, 0.750, 0.475], [0.408, 0.750, 0.737], [0.592, 0.250, 0.263], [0.740, 0.250, 0.525], [0.760, 0.750, 0.025], [0.908, 0.750, 0.763], [0.123, 0.250, 0.635], [0.377, 0.750, 0.135], [0.623, 0.250, 0.865], [0.877, 0.750, 0.365]]}

=====

{"formula": "KHfTlTe3", "functional": "PBE", "state": "optimized geometry", "mass_density_g_cm3": 5.41, "e_form_raw_ev_per_atom": -0.72, "sg": "C2/c, No. 15", "lattice": [[4.116, -8.352, 0.000], [4.116, 8.352, 0.000], [-1.910, 0.000, 7.181]], "species": ["K", "K", "Hf", "Hf", "Tl", "Tl", "Te", "Te", "Te", "Te", "Te", "Te"], "fractional_positions": [[0.229, 0.771, 0.750], [0.771, 0.229, 0.250], [0.049, 0.951, 0.250], [0.951, 0.049, 0.750], [0.412, 0.588, 0.250], [0.588, 0.412, 0.750], [0.180, 0.274, 0.508], [0.213, 0.787, 0.250], [0.274, 0.180, 0.008], [0.726, 0.820, 0.992], [0.787, 0.213, 0.750], [0.820, 0.726, 0.492]]}

=====

{"formula": "Pr5NiAg4", "functional": "PBE", "state": "optimized geometry", "ef_kcal_per_mol_atoms": -5.3, "mass_density_g_cm3": 7.61, "sg": "P4/mmm, No. 123", "lattice": [[3.686, 0.000, 0.000], [0.000, 3.686, 0.000], [0.000, 0.000, 19.189]], "species": ["Pr", "Pr", "Pr", "Pr", "Pr", "Ni", "Ag", "Ag", "Ag", "Ag"], "fractional_positions": [[0.000, 0.000, 0.000], [0.000, 0.000, 0.206], [0.000, 0.000, 0.413], [0.000, 0.000, 0.587], [0.000, 0.000, 0.794], [0.500, 0.500, 0.500], [0.500, 0.500, 0.103], [0.500, 0.500, 0.308], [0.500, 0.500, 0.692], [0.500, 0.500, 0.897]]}

=====

{"formula": "MgMn2S4", "functional": "PBE", "state": "optimized geometry", "mass_density_g_cm3": 3.31, "de_polymorph_mev_per_atom": 0.0, "e_form_raw_ev_per_atom": -0.76, "sg": "Imma, No. 74", "lattice": [[-3.520, 3.702, 5.051], [3.520, -3.702, 5.051], [3.520, 3.702, -5.051]], "species": ["Mg", "Mg", "Mn", "Mn", "Mn", "Mn", "S", "S", "S", "S", "S", "S", "S", "S"], "fractional_positions": [[0.000, 0.000, 0.000], [0.500, 0.000, 0.500], [0.000, 0.500, 0.500], [0.500, 0.000, 0.000], [0.500, 0.500, 0.000], [0.500, 0.500, 0.500], [0.264, 0.266, 0.502], [0.264, 0.761, 0.998], [0.279, 0.747, 0.532], [0.285, 0.253, 0.032], [0.715, 0.747, 0.968], [0.721, 0.253, 0.468], [0.736, 0.239, 0.002], [0.736, 0.734, 0.498]]}

=====

{"formula": "Rb2NbTcI6", "functional": "PBE", "state": "optimized geometry", "mass_density_g_cm3": 4.63, "e_form_raw_ev_per_atom": -0.43, "sg": "Fm-3m, No. 225", "lattice": [[0.000, 5.862, 5.862], [5.862, 0.000, 5.862], [5.862, 5.862, 0.000]], "species": ["Rb", "Rb", "Nb", "Tc", "I", "I", "I", "I", "I", "I"], "fractional_positions": [[0.250, 0.250, 0.250], [0.750, 0.750, 0.750], [0.000, 0.000, 0.000], [0.500, 0.500, 0.500], [0.249, 0.249, 0.751], [0.249, 0.751, 0.249], [0.249, 0.751, 0.751], [0.751, 0.249, 0.249], [0.751, 0.249, 0.751], [0.751, 0.751, 0.249]]}

=====

{"formula": "Ca2BiAu2", "functional": "PBE", "state": "optimized geometry", "ef_kcal_per_mol_atoms": -16.8, "mass_density_g_cm3": 8.61, "de_polymorph_mev_per_atom": 47.7, "sg": "Immm, No. 71", "lattice": [[-2.292, 3.452, 4.162], [2.292, -3.452, 4.162], [2.292, 3.452, -4.162]], "species": ["Ca", "Ca", "Bi", "Au", "Au"], "fractional_positions": [[0.211, 0.211, 0.000], [0.789, 0.789, 0.000], [0.500, 0.000, 0.500], [0.200, 0.500, 0.700], [0.800, 0.500, 0.300]]}

=====

{"formula": "Pm4Si2F", "functional": "PBE", "state": "optimized geometry", "mass_density_g_cm3": 6.22, "e_form_raw_ev_per_atom": -0.99, "sg": "I4/mmm, No. 139", "lattice": [[-2.332, 2.332, 8.045], [2.332, -2.332, 8.045], [2.332, 2.332, -8.045]], "species": ["Pm", "Pm", "Pm", "Pm", "Si", "Si", "F"], "fractional_positions": [[0.000, 0.500, 0.500], [0.183, 0.183, 0.000], [0.500, 0.000, 0.500], [0.817, 0.817, 0.000], [0.368, 0.368, 0.000], [0.632, 0.632, 0.000], [0.000, 0.000, 0.000]]}

=====

{"formula": "LaPdO3", "functional": "PBE", "state": "optimized geometry", "mass_density_g_cm3": 7.28, "e_form_raw_ev_per_atom": -1.94, "sg": "Pnma, No. 62", "lattice": [[6.042, 0.000, 0.000], [0.000, 7.843, 0.000], [0.000, 0.000, 5.646]], "species": ["La", "La", "La", "La", "Pd", "Pd", "Pd", "Pd", "O", "O", "O", "O", "O", "O", "O", "O", "O", "O", "O", "O"], "fractional_positions": [[0.071, 0.250, 0.021], [0.429, 0.750, 0.521], [0.571, 0.250, 0.479], [0.929, 0.750, 0.979], [0.000, 0.000, 0.500], [0.000, 0.500, 0.500], [0.500, 0.000, 0.000], [0.500, 0.500, 0.000], [0.040, 0.750, 0.389], [0.199, 0.552, 0.806], [0.199, 0.948, 0.806], [0.301, 0.052, 0.306], [0.301, 0.448, 0.306], [0.460, 0.250, 0.889], [0.540, 0.750, 0.111], [0.699, 0.552, 0.694], [0.699, 0.948, 0.694], [0.801, 0.052, 0.194], [0.801, 0.448, 0.194], [0.960, 0.250, 0.611]]}